NaMg4Sn4 | PBE-GGA | relaxed

Structure (CIF):
```
data_NaMg4Sn4
_chemical_formula_sum 'Na2 Mg8 Sn8'
_cell_length_a 6.023
_cell_length_b 9.536
_cell_length_c 9.536
_cell_angle_alpha 90.00
_cell_angle_beta 90.00
_cell_angle_gamma 90.00
_space_group_name_H-M_alt 'P 1'
_space_group_IT_number 1
loop_
_space_group_symop_operation_xyz
'x,y,z'
loop_
_atom_site_label
_atom_site_type_symbol
_atom_site_fract_x
_atom_site_fract_y
_atom_site_fract_z
Mg1 Mg 0.880 0.634 0.848
Mg2 Mg 0.880 0.366 0.152
Mg3 Mg 0.120 0.848 0.366
Mg4 Mg 0.120 0.152 0.634
Mg5 Mg 0.380 0.652 0.134
Mg6 Mg 0.620 0.134 0.348
Mg7 Mg 0.380 0.348 0.866
Mg8 Mg 0.620 0.866 0.652
Sn1 Sn 0.109 0.154 0.327
Sn2 Sn 0.109 0.846 0.673
Sn3 Sn 0.609 0.827 0.346
Sn4 Sn 0.391 0.654 0.827
Sn5 Sn 0.891 0.327 0.846
Sn6 Sn 0.391 0.346 0.173
Sn7 Sn 0.891 0.673 0.154
Sn8 Sn 0.609 0.173 0.654
Na1 Na 0.000 0.000 0.000
Na2 Na 0.500 0.500 0.500
```

## Properties
M_tot ... 0.0000 μB/atom
Formation energy from the elements ... -0.029 eV per atom
Calculated density ... 3.608 Mg/m³
VASP energy ... -47.9 eV for the cell shown